Record 1
## LiLa2CoH (GGA-PBE)

Data for a relaxed structure of LiLa2CoH.

Unit cell a=5.065 b=5.065 c=3.736 alpha=90.00 beta=90.00 gamma=90.00
Site moments in Bohr magnetons follow the coordinates.
Element x y z (fractional)
La 0.500 0.000 0.000  -0.06
Li 0.000 0.000 0.500  -0.01
H 0.000 0.000 0.000  0.00
Co 0.500 0.500 0.500  0.44
La 0.000 0.500 0.000  -0.06

Summary:
Relative energy among the computed polymorphs, eV per formula unit: 0.00
Calculated density, g/cm³: 5.97
Spin magnetization, μB per atom: 0.031
D(E_F), states/eV per atom: 0.637



Record 2
## LiLa2CoH (GGA-PBE)

Data for a relaxed structure of LiLa2CoH.

Unit cell a=5.195 b=5.195 c=3.615 alpha=90.00 beta=90.00 gamma=90.00
Element x y z (fractional)
Li 0.500 0.500 0.500
Co 0.000 0.000 0.500
H 0.000 0.000 0.000
La 0.500 0.000 0.000
La 0.000 0.500 0.000

Summary:
Relative energy among the computed polymorphs, eV per formula unit: 0.16
Calculated density, g/cm³: 5.87
Spin magnetization, μB per atom: 0.000
D(E_F), states/eV per atom: 0.705



Record 3
## LiLaCoH6 (GGA-PBE)

Data for a relaxed structure of LiLaCoH6.

Unit cell a=4.518 b=4.518 c=4.334 alpha=90.00 beta=90.00 gamma=60.00
Element x y z (fractional)
H 0.482 0.036 0.745
H 0.036 0.482 0.745
H 0.482 0.482 0.255
H 0.482 0.482 0.745
La 0.000 0.000 0.000
Co 0.333 0.333 0.500
Li 0.667 0.667 0.500
H 0.482 0.036 0.255
H 0.036 0.482 0.255

Summary:
Calculated density, g/cm³: 4.57
Spin magnetization, μB per atom: 0.000
D(E_F), states/eV per atom: 0.250



Record 4
## LiLa2CoH6 (GGA-PBE)

Data for a relaxed structure of LiLa2CoH6.

Unit cell a=4.723 b=5.112 c=5.112 alpha=120.00 beta=90.00 gamma=90.00
Element x y z (fractional)
H 0.212 0.845 0.155
Co 0.000 0.000 0.000
H 0.212 0.845 0.691
H 0.788 0.155 0.309
H 0.788 0.691 0.845
Li 0.500 0.000 0.000
H 0.212 0.309 0.155
La 0.766 0.667 0.333
La 0.234 0.333 0.667
H 0.788 0.155 0.845

Summary:
Calculated density, g/cm³: 5.43
Spin magnetization, μB per atom: 0.000
D(E_F), states/eV per atom: 0.347



Record 5
## Li2LaCoH8 (GGA-PBE)

Data for a relaxed structure of Li2LaCoH8.

Unit cell a=4.375 b=4.375 c=6.112 alpha=90.00 beta=90.00 gamma=120.00
Site moments in Bohr magnetons follow the coordinates.
Element x y z (fractional)
Co 0.000 0.000 0.000  -0.13
La 0.000 0.000 0.500  0.00
H 0.326 0.163 0.852  0.00
Li 0.667 0.333 0.108  0.00
H 0.163 0.326 0.148  0.00
H 0.674 0.837 0.148  0.00
Li 0.333 0.667 0.892  0.00
H 0.837 0.674 0.852  0.00
H 0.163 0.837 0.148  0.00
H 0.333 0.667 0.561  0.00
H 0.837 0.163 0.852  0.00
H 0.667 0.333 0.439  0.00

Summary:
Calculated density, g/cm³: 3.60
Spin magnetization, μB per atom: 0.009
D(E_F), states/eV per atom: 0.000



Record 6
## La6Mg2CoH (GGA-PBE)

Data for a relaxed structure of La6Mg2CoH.

Unit cell a=7.602 b=7.563 c=7.397 alpha=60.68 beta=61.46 gamma=93.28
Element x y z (fractional)
Mg 0.245 0.746 0.508
Mg 0.755 0.254 0.492
La 0.298 0.291 0.499
La 0.702 0.709 0.501
La 0.798 0.787 0.912
La 0.253 0.762 0.002
Co 0.500 0.500 0.000
H 0.000 0.000 0.000
La 0.747 0.238 0.998
La 0.202 0.213 0.088

Summary:
Calculated density, g/cm³: 5.19
Spin magnetization, μB per atom: 0.000
D(E_F), states/eV per atom: 1.319



Record 7
## La2MgCoH (GGA-PBE)

Data for a relaxed structure of La2MgCoH.

Unit cell a=5.286 b=5.286 c=3.742 alpha=90.00 beta=90.00 gamma=90.00
Site moments in Bohr magnetons follow the coordinates.
Element x y z (fractional)
Mg 0.500 0.500 0.500  0.01
La 0.000 0.500 0.000  -0.06
H 0.000 0.000 0.000  0.00
Co 0.000 0.000 0.500  0.74
La 0.500 0.000 0.000  -0.06

Summary:
Calculated density, g/cm³: 5.75
Spin magnetization, μB per atom: 0.098
D(E_F), states/eV per atom: 0.810



Record 8
## LaMgCo2H8 (GGA-PBE)

Data for a relaxed structure of LaMgCo2H8.

Unit cell a=4.574 b=4.574 c=6.177 alpha=68.27 beta=68.27 gamma=60.00
Element x y z (fractional)
H 0.413 0.625 0.865
H 0.375 0.903 0.135
La 0.500 0.500 0.500
H 0.792 0.792 0.623
H 0.097 0.413 0.865
Co 0.694 0.694 0.918
H 0.587 0.375 0.135
H 0.903 0.587 0.135
Mg 0.000 0.000 0.000
Co 0.306 0.306 0.082
H 0.625 0.097 0.865
H 0.208 0.208 0.377

Summary:
Calculated density, g/cm³: 4.75
Spin magnetization, μB per atom: 0.000
D(E_F), states/eV per atom: 0.320



Q: Which raw total energy values were calculated for the entries above? A: -22.80 -22.64 -37.58 -43.13 -47.79 -44.35 -22.37 -50.62, in eV/f.u..